# 1
Here is a geometry-optimized Si2Au structure from Alexandria. Energies are from GGA-PBE.

```
Si2Au
1.0
1.753 -5.715 0.000
1.753 5.715 0.000
0.000 0.000 5.101
Si Au
4 2
direct
0.010 0.990 0.750
0.356 0.644 0.750
0.644 0.356 0.250
0.990 0.010 0.250
0.315 0.685 0.250
0.685 0.315 0.750
```

Summary:
V (Å³/cell): 102.2
Polymorph energy (0 for the lowest one) (eV per atom): 0.059
M_tot (Bohr magnetons per cell): 0.00
Energy relative to the elements, uncorrected (eV/atom): 0.155
Fermi-level density of states (states/eV/f.u.): 0.88
Crystal system: orthorhombic
Mass density (g/cm³): 8.2

---

# 2
Here is a geometry-optimized Nd2Sm8Y3 structure from Alexandria. Energies are from GGA-PBE.

```
Nd2Sm8Y3
1.0
8.005 0.000 0.000
0.000 5.085 0.000
-1.561 0.000 11.305
Nd Sm Y
2 8 3
direct
0.208 0.000 0.072
0.792 0.000 0.928
0.071 0.000 0.354
0.075 0.500 0.856
0.355 0.000 0.780
0.357 0.500 0.284
0.643 0.500 0.716
0.645 0.000 0.220
0.925 0.500 0.144
0.929 0.000 0.646
0.216 0.500 0.570
0.500 0.000 0.500
0.784 0.500 0.430
```

Summary:
V (Å³/cell): 460.2
Polymorph energy (0 for the lowest one) (eV per atom): 0.120
Formation energy (kJ per mole of atoms): 13.1
M_tot (Bohr magnetons per cell): 0.00
Fermi-level density of states (states/eV/f.u.): 18.65
Crystal system: monoclinic
Mass density (g/cm³): 6.3

---

# 3
Here is a geometry-optimized ReC2 structure from Alexandria. Energies are from GGA-PBE.

```
ReC2
1.0
5.752 0.000 0.000
0.000 2.722 0.000
0.000 0.000 6.855
Re C
4 8
direct
0.200 0.250 0.181
0.300 0.750 0.681
0.700 0.250 0.319
0.800 0.750 0.819
0.039 0.250 0.458
0.084 0.250 0.871
0.416 0.750 0.371
0.461 0.750 0.958
0.539 0.250 0.042
0.584 0.250 0.629
0.916 0.750 0.129
0.961 0.750 0.542
```

Summary:
V (Å³/cell): 107.3
Polymorph energy (0 for the lowest one) (eV per atom): 0.618
Formation energy (kJ per mole of atoms): 102.1
M_tot (Bohr magnetons per cell): 0.00
Fermi-level density of states (states/eV/f.u.): 1.19
Crystal system: orthorhombic
Mass density (g/cm³): 13.0

---

# 4
Here is a geometry-optimized Sc2ReAu structure from Alexandria. Energies are from GGA-PBE.

```
Sc2ReAu
1.0
-1.816 2.174 4.641
1.816 -2.174 4.641
1.816 2.174 -4.641
Sc Re Au
2 1 1
direct
0.000 0.000 0.000
0.733 0.233 0.500
0.234 0.734 0.500
0.480 0.480 0.000
```

Summary:
V (Å³/cell): 73.3
Formation energy (kJ per mole of atoms): -19.6
M_tot (Bohr magnetons per cell): 0.00
Fermi-level density of states (states/eV/f.u.): 2.34
Crystal system: orthorhombic
Mass density (g/cm³): 10.7

---

# 5
Here is a geometry-optimized NaRe2IN structure from Alexandria. Energies are from GGA-PBE.

```
NaRe2IN
1.0
3.961 0.000 0.000
0.000 3.961 0.000
0.000 0.000 7.624
Na Re I N
1 2 1 1
direct
0.000 0.000 0.000
0.000 0.500 0.500
0.500 0.000 0.500
0.500 0.500 0.000
0.500 0.500 0.500
```

Summary:
V (Å³/cell): 119.6
Polymorph energy (0 for the lowest one) (eV per atom): 0.000
M_tot (Bohr magnetons per cell): 1.77
Energy relative to the elements, uncorrected (eV/atom): 0.610
Fermi-level density of states (states/eV/f.u.): 3.49
Crystal system: tetragonal
Mass density (g/cm³): 7.4

---

# 6
Here is a geometry-optimized CsVAsI6 structure from Alexandria. Energies are from GGA-PBE.

```
CsVAsI6
1.0
7.462 0.000 0.000
-3.731 6.462 0.000
0.000 0.000 8.777
Cs V As I
1 1 1 6
direct
0.000 0.000 0.000
0.333 0.667 0.500
0.667 0.333 0.500
0.008 0.374 0.685
0.008 0.634 0.315
0.366 0.374 0.315
0.366 0.992 0.685
0.626 0.634 0.685
0.626 0.992 0.315
```

Summary:
V (Å³/cell): 423.2
M_tot (Bohr magnetons per cell): 3.00
Energy relative to the elements, uncorrected (eV/atom): -0.568
Crystal system: trigonal
Mass density (g/cm³): 4.0

---

# 7
Here is a geometry-optimized Ce3Hf2ScAs6 structure from Alexandria. Energies are from GGA-PBE.

```
Ce3Hf2ScAs6
1.0
3.480 -6.026 0.000
3.480 6.026 0.000
-2.318 0.000 6.578
Ce Hf Sc As
3 2 1 6
direct
0.000 0.000 0.000
0.334 0.666 0.000
0.666 0.334 0.000
0.167 0.833 0.500
0.833 0.167 0.500
0.500 0.500 0.500
0.089 0.424 0.273
0.241 0.241 0.726
0.424 0.089 0.273
0.576 0.911 0.727
0.759 0.759 0.274
0.911 0.576 0.727
```

Summary:
V (Å³/cell): 275.9
Formation energy (kJ per mole of atoms): -124.7
M_tot (Bohr magnetons per cell): 1.67
Fermi-level density of states (states/eV/f.u.): 16.20
Crystal system: monoclinic
Mass density (g/cm³): 7.7